(1)
## Dy4Tl3Pb (PBE)

Data for a relaxed Dy4Tl3Pb crystal.

Cell: 5.071 5.087 8.546 Å, 90.00 90.00 90.00°
Positions (direct):
Dy (0.000, 0.000, 0.247)
Dy (0.000, 0.000, 0.753)
Dy (0.500, 0.500, 0.247)
Dy (0.500, 0.500, 0.753)
Tl (0.000, 0.500, 0.000)
Tl (0.000, 0.500, 0.500)
Tl (0.500, 0.000, 0.000)
Pb (0.500, 0.000, 0.500)

Properties
Calculated formation energy (meV per atom): -362
V (Å³ per atom): 27.552

---

(2)
## Dy2TlPb5 (PBE)

Data for a relaxed Dy2TlPb5 crystal.

Cell: 6.830 6.830 6.858 Å, 119.30 119.30 90.55°
Positions (direct):
Dy (0.000, 0.500, 0.000)
Dy (0.500, 0.000, 0.000)
Tl (0.000, 0.000, 0.000)
Pb (0.000, 0.000, 0.500)
Pb (0.000, 0.500, 0.500)
Pb (0.500, 0.000, 0.500)
Pb (0.500, 0.500, 0.000)
Pb (0.500, 0.500, 0.500)

Properties
Calculated formation energy (meV per atom): -274
V (Å³ per atom): 28.731

---

(3)
## Dy3Tl2Pb (PBE)

Data for a relaxed Dy3Tl2Pb crystal.

Cell: 8.034 8.034 4.270 Å, 90.00 90.00 143.14°
Positions (direct):
Dy (0.000, 0.000, 0.000)
Dy (0.334, 0.666, 0.000)
Dy (0.666, 0.334, 0.000)
Tl (0.170, 0.830, 0.500)
Tl (0.830, 0.170, 0.500)
Pb (0.500, 0.500, 0.500)

Properties
Calculated formation energy (meV per atom): -373
V (Å³ per atom): 27.557
Energy above the most stable polymorph in this dataset (meV/atom): 0

---

(4)
## Dy6Tl6Pb (PBE)

Data for a relaxed Dy6Tl6Pb crystal.

Cell: 6.525 6.525 10.324 Å, 90.00 90.00 120.00°
Positions (direct):
Dy (0.000, 0.000, 0.187)
Dy (0.000, 0.000, 0.813)
Dy (0.333, 0.667, 0.000)
Dy (0.333, 0.667, 0.500)
Dy (0.667, 0.333, 0.000)
Dy (0.667, 0.333, 0.500)
Tl (0.000, 0.500, 0.250)
Tl (0.000, 0.500, 0.750)
Tl (0.500, 0.000, 0.250)
Tl (0.500, 0.000, 0.750)
Tl (0.500, 0.500, 0.250)
Tl (0.500, 0.500, 0.750)
Pb (0.000, 0.000, 0.500)

Properties
Calculated formation energy (meV per atom): -198
V (Å³ per atom): 29.282

---

Question: calculated formation energy of number 1 (Dy4Tl3Pb)?
Answer: -362 meV per atom

---

Question: Which value of calculated formation energy does entry 2 give?
Answer: -274 meV per atom